Entry 1:
SrCd6Ag after structural relaxation. Source: Alexandria via LeMat-Bulk, functional PBE-GGA.

```
8
Lattice="2.446 1.412 9.600 -2.446 1.412 9.600 0.000 -2.824 9.600" Properties=species:S:1:pos:R:3 pbc="T T T"
Sr 0.000 0.000 0.000
Cd 0.000 0.000 3.897
Cd 0.000 0.000 7.149
Cd 0.000 0.000 11.507
Cd 0.000 0.000 17.294
Cd 0.000 0.000 21.651
Cd 0.000 0.000 24.903
Ag 0.000 0.000 14.400
```

Values from the calculation:
The value obtained for the density of states at the Fermi level is 3.59 states/eV/f.u. Its energy of formation from the pure elements is -0.13 eV/atom. The calculation puts the total magnetization at 0.00 μB per formula unit.

Entry 2:
Sr2Cd9Ag6 after structural relaxation. Source: Alexandria via LeMat-Bulk, functional PBE-GGA.

```
17
Lattice="5.914 0.000 0.000 -2.957 5.121 0.000 0.000 0.000 14.284" Properties=species:S:1:pos:R:3 pbc="T T T"
Sr 0.000 0.000 2.400
Sr 0.000 0.000 11.884
Cd -1.478 2.561 0.000
Cd -1.478 2.561 4.818
Cd -1.478 2.561 9.466
Cd 2.957 0.000 0.000
Cd 2.957 0.000 4.818
Cd 2.957 0.000 9.466
Cd 1.478 2.561 0.000
Cd 1.478 2.561 4.818
Cd 1.478 2.561 9.466
Ag 0.000 3.414 2.422
Ag 0.000 3.414 7.142
Ag 0.000 3.414 11.861
Ag 2.957 1.707 2.422
Ag 2.957 1.707 7.142
Ag 2.957 1.707 11.861
```

Values from the calculation:
The value obtained for the density of states at the Fermi level is 6.77 states/eV/f.u. Its energy of formation from the pure elements is -0.11 eV/atom. The calculation puts the total magnetization at 0.00 μB per formula unit.

Entry 3:
Sr2CdAg2 after structural relaxation. Source: Alexandria via LeMat-Bulk, functional PBE-GGA.

```
10
Lattice="8.241 0.000 0.000 0.000 8.241 0.000 0.000 0.000 4.379" Properties=species:S:1:pos:R:3 pbc="T T T"
Sr 1.461 2.660 0.000
Sr 2.660 6.781 0.000
Sr 5.582 1.461 0.000
Sr 6.781 5.582 0.000
Cd 0.000 0.000 2.190
Cd 4.121 4.121 2.190
Ag 1.009 5.130 2.190
Ag 3.112 1.009 2.190
Ag 5.130 7.233 2.190
Ag 7.233 3.112 2.190
```

Values from the calculation:
The value obtained for the density of states at the Fermi level is 3.65 states/eV/f.u. Its energy of formation from the pure elements is -0.30 eV/atom. The calculation puts the total magnetization at 0.00 μB per formula unit.

Entry 4:
Sr2Cd3Ag4 after structural relaxation. Source: Alexandria via LeMat-Bulk, functional PBE-GGA.

```
18
Lattice="3.097 -8.517 0.000 3.097 8.517 0.000 0.000 0.000 8.468" Properties=species:S:1:pos:R:3 pbc="T T T"
Sr 3.097 6.671 7.709
Sr 3.097 1.846 3.474
Sr 3.097 -1.846 4.994
Sr 3.097 -6.671 0.760
Cd 0.000 0.000 4.234
Cd 1.549 3.931 6.351
Cd 1.549 -3.931 2.117
Cd 3.097 0.000 0.000
Cd 4.646 3.931 6.351
Cd 4.646 -3.931 2.117
Ag 3.097 5.540 4.390
Ag 1.549 1.052 6.351
Ag 1.549 -1.052 2.117
Ag 3.097 2.977 0.156
Ag 3.097 -2.977 8.312
Ag 4.646 1.052 6.351
Ag 4.646 -1.052 2.117
Ag 3.097 -5.540 4.078
```

Values from the calculation:
The value obtained for the density of states at the Fermi level is 4.15 states/eV/f.u. Its energy of formation from the pure elements is -0.22 eV/atom. The calculation puts the total magnetization at 0.00 μB per formula unit.

Entry 5:
SrCd2Ag2 after structural relaxation. Source: Alexandria via LeMat-Bulk, functional PBE-GGA.

```
10
Lattice="8.502 0.000 0.000 0.000 8.502 0.000 0.000 0.000 3.245" Properties=species:S:1:pos:R:3 pbc="T T T"
Sr 0.000 0.000 0.000
Sr 4.251 4.251 0.000
Cd 1.044 3.207 0.000
Cd 3.207 7.458 0.000
Cd 5.295 1.044 0.000
Cd 7.458 5.295 0.000
Ag 1.481 5.732 1.622
Ag 2.770 1.481 1.622
Ag 5.732 7.021 1.622
Ag 7.021 2.770 1.622
```

Values from the calculation:
The value obtained for the density of states at the Fermi level is 1.96 states/eV/f.u. Its energy of formation from the pure elements is -0.11 eV/atom. The calculation puts the total magnetization at 0.00 μB per formula unit.

Entry 6:
Sr2CdAg2 after structural relaxation. Source: Alexandria via LeMat-Bulk, functional PBE-GGA.

```
10
Lattice="5.991 -2.411 0.000 5.991 2.411 0.000 -5.448 0.000 10.338" Properties=species:S:1:pos:R:3 pbc="T T T"
Sr -1.721 0.000 3.452
Sr 1.673 0.000 1.146
Sr 4.862 0.000 9.192
Sr 8.256 0.000 6.886
Cd -0.186 0.000 6.674
Cd 6.721 0.000 3.664
Ag 1.980 0.000 4.533
Ag 5.151 0.000 1.168
Ag 1.383 0.000 9.170
Ag 4.555 0.000 5.805
```

Values from the calculation:
The value obtained for the density of states at the Fermi level is 2.55 states/eV/f.u. Its energy of formation from the pure elements is -0.31 eV/atom. The calculation puts the total magnetization at 0.00 μB per formula unit.

Entry 7:
Sr2Cd15Ag2 after structural relaxation. Source: Alexandria via LeMat-Bulk, functional PBE-GGA.

```
19
Lattice="5.093 2.940 5.035 -5.093 2.940 5.035 0.000 -5.881 5.035" Properties=species:S:1:pos:R:3 pbc="T T T"
Sr 0.000 0.000 2.486
Sr 0.000 0.000 12.618
Cd -2.547 -1.470 5.035
Cd 0.000 -2.985 4.769
Cd -2.585 1.492 4.769
Cd -1.488 -2.577 7.552
Cd -2.975 0.000 7.552
Cd -2.585 -1.492 10.335
Cd -2.547 1.470 10.069
Cd 1.488 -2.577 7.552
Cd 0.000 2.940 5.035
Cd -1.488 2.577 7.552
Cd 2.585 1.492 4.769
Cd 2.975 0.000 7.552
Cd 1.488 2.577 7.552
Cd 2.585 -1.492 10.335
Cd 0.000 2.985 10.335
Ag 0.000 0.000 6.024
Ag 0.000 0.000 9.080
```

Values from the calculation:
The value obtained for the density of states at the Fermi level is 6.44 states/eV/f.u. Its energy of formation from the pure elements is -0.15 eV/atom. The calculation puts the total magnetization at 0.00 μB per formula unit.

Entry 8:
SrCd2Ag after structural relaxation. Source: Alexandria via LeMat-Bulk, functional PBE-GGA.

```
8
Lattice="6.239 0.000 0.000 0.000 11.142 0.000 -1.772 0.000 3.161" Properties=species:S:1:pos:R:3 pbc="T T T"
Sr 0.000 0.000 0.000
Sr 3.119 5.571 0.000
Cd 0.674 2.786 1.581
Cd 0.674 8.357 1.581
Cd 3.793 2.786 1.581
Cd 3.793 8.357 1.581
Ag 0.000 5.571 0.000
Ag 3.119 0.000 0.000
```

Values from the calculation:
The value obtained for the density of states at the Fermi level is 2.05 states/eV/f.u. Its energy of formation from the pure elements is -0.01 eV/atom. The calculation puts the total magnetization at 0.00 μB per formula unit.